Entry 1:
Below is crystalline Sc6SiRh5 at its relaxed geometry, with properties calculated at the PBE level.

```
Sc6SiRh5
1.0
-1.1826 3.4546 2.7109
-5.6651 -3.0271 1.3865
2.3857 -1.4151 6.6586
Sc Si Rh
6 1 5
Cartesian
-4.4241 0.1298 5.5339 Sc
-1.6027 1.6375 4.8433 Sc
-2.0310 0.9580 1.7078 Sc
-4.8167 -0.5305 2.3896 Sc
-2.8593 -2.6251 5.9126 Sc
-0.0378 -1.1174 5.2221 Sc
0.0000 0.0000 0.0000 Si
-2.0328 -0.1514 6.9354 Rh
0.3905 0.6910 3.1043 Rh
-2.8325 -1.5135 0.6932 Rh
0.8126 1.3485 6.2652 Rh
-2.4292 -0.8362 3.8206 Rh
```

N(E_F)   5.14 states/eV/f.u.
SG   Cmmm (65)
Raw formation energy   -11.17 eV/f.u.

=====

Entry 2:
Below is crystalline MgZn2Hg at its relaxed geometry, with properties calculated at the PBE level.

```
MgZn2Hg
1.0
-5.1614 4.6241 5.5629
-7.0701 4.5123 2.9361
-7.0401 2.0276 5.0293
Hg Mg Zn
1 1 2
Cartesian
-4.8179 2.7910 3.3821 Hg
-14.4537 8.3730 10.1462 Mg
-0.0054 0.0031 0.0038 Zn
-9.6304 5.5788 6.7603 Zn
```

N(E_F)   1.86 states/eV/f.u.
Energy above the lowest structure with this stoichiometry   0.1030 eV per atom
SG   R-3m (166)
Energy relative to the elements   71 meV per atom

=====

Entry 3:
Below is crystalline CeCrTcC3 at its relaxed geometry, with properties calculated at the PBE level.

```
CeCrTcC3
1.0
-0.9018 0.7585 -3.3328
-5.4556 -1.7453 1.0791
1.1460 7.5754 1.4139
Ce Cr Tc C
2 2 2 6
Cartesian
-3.8214 4.9811 -0.6444 Ce
-1.3901 1.6075 -0.1954 Ce
-0.3663 4.5753 0.2030 Cr
-4.8452 2.0133 -1.0428 Cr
-3.9043 -0.2317 0.0664 Tc
-1.3072 6.8202 -0.9062 Tc
-4.0010 2.2523 0.6579 C
-5.4964 0.1303 -1.2951 C
-3.2226 0.9376 -1.7267 C
-1.2105 4.3363 -1.4977 C
-1.9888 5.6510 0.8868 C
0.2850 6.4583 0.4553 C
```

N(E_F)   4.62 states/eV/f.u.
SG   P2_1/m (11)
Energy relative to the elements   13 meV per atom

=====

Entry 4:
Below is crystalline Bi4SbPb8 at its relaxed geometry, with properties calculated at the PBE level.

```
Bi4SbPb8
1.0
5.5315 0.0000 0.0000
0.0000 3.4109 0.2757
0.0000 1.6621 22.9169
Bi Sb Pb
4 1 8
Cartesian
0.0000 0.5503 1.7743 Bi
0.0000 3.5378 14.8054 Bi
2.7657 3.5753 9.6172 Bi
2.7657 3.5867 20.1850 Bi
0.0000 3.6053 8.0563 Sb
5.5315 0.9488 11.2854 Pb
0.0000 2.0946 21.3553 Pb
2.7657 1.8708 0.6150 Pb
2.7657 2.6168 13.0290 Pb
0.0000 2.0328 4.8688 Pb
0.0000 3.8222 18.1264 Pb
2.7657 3.6951 6.0891 Pb
2.7657 2.4165 16.5677 Pb
```

N(E_F)   4.77 states/eV/f.u.
SG   Pm (6)
Raw formation energy   0.57 eV/f.u.

=====

Entry 5:
Below is crystalline Sm5Sb2 at its relaxed geometry, with properties calculated at the PBE level.

```
Sm5Sb2
1.0
6.3708 0.0000 0.0000
0.0000 8.4785 0.2005
-3.1854 -1.0837 8.1398
Sm Sb
10 4
Cartesian
0.8849 3.4262 1.5891 Sm
-2.3004 -0.2707 6.6510 Sm
-0.4714 5.1402 4.5225 Sm
2.7140 6.4938 3.9181 Sm
3.6568 2.2545 3.8178 Sm
0.4714 0.9010 4.4223 Sm
5.4858 7.6654 1.6894 Sm
2.3004 3.9686 6.7512 Sm
4.1555 2.1196 0.0501 Sm
2.2153 6.3588 0.1504 Sm
-1.0997 2.7002 6.5467 Sb
2.0857 0.4553 1.6934 Sb
4.2850 4.6945 1.7936 Sb
1.0997 6.9395 6.6470 Sb
```

N(E_F)   8.95 states/eV/f.u.
SG   C2/c (15)
Raw formation energy   -4.46 eV/f.u.